Entry 1:
Computed, not measured: crystalline Pr3In2HgPdAu2 at its relaxed geometry at the PBE level of DFT.

Cell lengths 4.0320, 7.9535, 7.9535 Å; angles 119.33, 90.00, 90.00 degrees
Fractional coordinates of all 9 atoms:
Pr 0.0000 0.0000 0.0000
Pr 0.0000 0.1826 0.5793
Pr 0.0000 0.5793 0.1826
In 0.5000 0.5901 0.8381
In 0.5000 0.8381 0.5901
Hg 0.5000 0.3292 0.3292
Pd 0.0000 0.5980 0.5980
Au 0.5000 0.2518 0.9089
Au 0.5000 0.9089 0.2518

Properties
symmetry = Amm2

=====

Entry 2:
Computed, not measured: crystalline Pr3InHg2Pt2Au at its relaxed geometry at the PBE level of DFT.

Cell lengths 4.0187, 7.9065, 7.9065 Å; angles 120.48, 90.00, 90.00 degrees
Fractional coordinates of all 9 atoms:
Pr 0.0000 0.0000 0.0000
Pr 0.0000 0.3944 0.8085
Pr 0.0000 0.8085 0.3944
In 0.5000 0.6603 0.6603
Hg 0.5000 0.1354 0.4026
Hg 0.5000 0.4026 0.1354
Pt 0.5000 0.0518 0.7301
Pt 0.5000 0.7301 0.0518
Au 0.0000 0.4094 0.4094

Properties
symmetry = Amm2

=====

Entry 3:
Computed, not measured: crystalline Pr3In2HgPtAu2 at its relaxed geometry at the PBE level of DFT.

Cell lengths 4.0910, 7.8755, 7.8755 Å; angles 119.35, 90.00, 90.00 degrees
Fractional coordinates of all 9 atoms:
Pr 0.0000 0.0000 0.0000
Pr 0.0000 0.1918 0.5838
Pr 0.0000 0.5838 0.1918
In 0.5000 0.5935 0.8417
In 0.5000 0.8417 0.5935
Hg 0.5000 0.3327 0.3327
Pt 0.0000 0.6041 0.6041
Au 0.5000 0.2554 0.9130
Au 0.5000 0.9130 0.2554

Properties
symmetry = Amm2

=====

Entry 4:
Computed, not measured: crystalline KHg3Au at its relaxed geometry at the PBE level of DFT.

Cell lengths 7.0989, 7.0989, 6.9083 Å; angles 90.00, 90.00, 119.55 degrees
Fractional coordinates of all 10 atoms:
K 0.2367 0.7633 0.7500
K 0.7633 0.2367 0.2500
Hg 0.1283 0.8717 0.2500
Hg 0.2769 0.2769 0.0000
Hg 0.2769 0.2769 0.5000
Hg 0.7231 0.7231 0.0000
Hg 0.7231 0.7231 0.5000
Hg 0.8717 0.1283 0.7500
Au 0.3558 0.6442 0.2500
Au 0.6442 0.3558 0.7500

Properties
symmetry = Cmcm

=====

Entry 5:
Computed, not measured: crystalline K6HgAu2 at its relaxed geometry at the PBE level of DFT.

Cell lengths 10.0576, 10.0576, 10.0576 Å; angles 113.78, 111.21, 103.59 degrees
Fractional coordinates of all 18 atoms:
K 0.0150 0.8441 0.1708
K 0.2557 0.5650 0.3093
K 0.2557 0.9464 0.6907
K 0.2861 0.3239 0.6101
K 0.2861 0.6761 0.9622
K 0.3267 0.1559 0.1708
K 0.6733 0.8441 0.8292
K 0.7139 0.3239 0.0378
K 0.7139 0.6761 0.3899
K 0.7443 0.0536 0.3093
K 0.7443 0.4350 0.6907
K 0.9850 0.1559 0.8292
Hg 0.0000 0.5000 0.5000
Hg 0.5000 0.0000 0.5000
Au 0.0000 0.2170 0.2170
Au 0.0000 0.7830 0.7830
Au 0.3834 0.3834 0.0000
Au 0.6166 0.6166 0.0000

Properties
symmetry = Immm

=====

Entry 6:
Computed, not measured: crystalline La3Mg3HgAu2 at its relaxed geometry at the PBE level of DFT.

Cell lengths 7.6725, 7.6725, 4.5537 Å; angles 90.00, 90.00, 120.00 degrees
Fractional coordinates of all 9 atoms:
La 0.0000 0.4236 0.0000
La 0.4236 0.0000 0.0000
La 0.5764 0.5764 0.0000
Mg 0.0000 0.7579 0.5000
Mg 0.2421 0.2421 0.5000
Mg 0.7579 0.0000 0.5000
Hg 0.0000 0.0000 0.0000
Au 0.3333 0.6667 0.5000
Au 0.6667 0.3333 0.5000

Properties
symmetry = P-62m

=====

Number 1: energy -0.15673 hartree per atom. Number 2: energy -0.16454 hartree per atom. Number 3: energy -0.16155 hartree per atom. Number 4: energy -0.04614 hartree per atom. Number 5: energy -0.06299 hartree per atom. Number 6: energy -0.12847 hartree per atom.